1.
# ScCo | the Alexandria database | GGA-PBE | relaxed
data_ScCo
_chemical_formula_sum 'Sc2 Co2'
_cell_length_a 3.388
_cell_length_b 3.388
_cell_length_c 5.620
_cell_angle_alpha 90.00
_cell_angle_beta 90.00
_cell_angle_gamma 90.00
_space_group_name_H-M_alt 'P 1'
_space_group_IT_number 1
_space_group_name_Hall 'P 1'
loop_
_atom_site_label
_atom_site_type_symbol
_atom_site_fract_x
_atom_site_fract_y
_atom_site_fract_z
Sc1 Sc 0.250 0.250 0.189
Sc2 Sc 0.750 0.750 0.811
Co1 Co 0.250 0.250 0.652
Co2 Co 0.750 0.750 0.348
# - Density of states at the Fermi level: 1.052 states/eV/atom
# - Space group: P4/nmm, No. 129

---

2.
# TlReMo2 | the Alexandria database | GGA-PBE | relaxed
data_TlReMo2
_chemical_formula_sum 'Tl1 Re1 Mo2'
_cell_length_a 4.584
_cell_length_b 4.584
_cell_length_c 4.584
_cell_angle_alpha 60.00
_cell_angle_beta 60.00
_cell_angle_gamma 60.00
_space_group_name_H-M_alt 'P 1'
_space_group_IT_number 1
_space_group_name_Hall 'P 1'
loop_
_atom_site_label
_atom_site_type_symbol
_atom_site_fract_x
_atom_site_fract_y
_atom_site_fract_z
Tl1 Tl 0.000 0.000 0.000
Re1 Re 0.500 0.500 0.500
Mo1 Mo 0.250 0.250 0.250
Mo2 Mo 0.750 0.750 0.750
# - Density of states at the Fermi level: 1.277 states/eV/atom
# - Space group: Fm-3m, No. 225
# - Energy above the most stable polymorph in this dataset: 303 meV/atom

---

Looking at E_tot for the records above, in order, we have -13.422; -33.586 eV/f.u..